Here is a relaxed Ac5ErZn4 crystal from Alexandria via LeMat-Bulk. Energies are from GGA-PBE.

Cell lengths 3.9073, 3.9073, 20.6982 Å; angles 90.00, 90.00, 90.00 degrees
With the nearest neighbours (Å) after each atom.
Element x y z (fractional)
Ac1 0.0000 0.0000 0.0000  8 Zn 3.38
Ac2 0.0000 0.0000 0.1891  8 Zn 3.39-3.40
Ac3 0.0000 0.0000 0.3769  4 Zn 3.36, 4 Er 3.76
Ac4 0.0000 0.0000 0.6231  4 Zn 3.36, 4 Er 3.76
Ac5 0.0000 0.0000 0.8109  8 Zn 3.39-3.40
Er1 0.5000 0.5000 0.5000  8 Ac 3.76, 4 Er 3.91
Zn1 0.5000 0.5000 0.0941  8 Ac 3.38-3.39
Zn2 0.5000 0.5000 0.2847  8 Ac 3.36-3.40
Zn3 0.5000 0.5000 0.7153  8 Ac 3.36-3.40
Zn4 0.5000 0.5000 0.9059  8 Ac 3.38-3.39

Values from the calculation:
Fermi-level density of states ... 1.14 states/eV/atom
Total DFT energy (no corrections) ... -3.20 eV/atom